Record 1
A geometry-optimized BaLi2AgH structure, computed with GGA-PBE.

Calculated values
DFT total energy	-2.5010	eV per atom
total moment	0.000	μB/cell

Cell: 4.500 4.500 5.490 Å, 90.00 90.00 90.00°
Space group P4/mmm (No. 123)
Symmetry-distinct sites (fractional):
Ba 0.000 0.000 0.000 [1 per cell]
Li 0.000 0.500 0.500 [2 per cell]
Ag 0.500 0.500 0.000 [1 per cell]
H 0.000 0.000 0.500 [1 per cell]

---

Record 2
A geometry-optimized Ba2LiAgH structure, computed with GGA-PBE.

Calculated values
DFT total energy	-2.5955	eV per atom
total moment	0.000	μB/cell

Cell: 7.504 4.517 9.234 Å, 90.00 109.34 90.00°
Space group P2_1/m (No. 11)
Symmetry-distinct sites (fractional):
Ba 0.194 0.250 0.403 [2 per cell]
Ba 0.220 0.250 0.953 [2 per cell]
Li 0.439 0.750 0.247 [2 per cell]
Ag 0.343 0.750 0.713 [2 per cell]
H 0.175 0.750 0.185 [2 per cell]

---

Record 3
A geometry-optimized Ba2LiAgH structure, computed with GGA-PBE.

Calculated values
DFT total energy	-2.4963	eV per atom
total moment	0.000	μB/cell

Cell: 5.641 5.641 4.573 Å, 90.00 90.00 90.00°
Space group P4/mmm (No. 123)
Symmetry-distinct sites (fractional):
Ba 0.000 0.500 0.000 [2 per cell]
Li 0.000 0.000 0.500 [1 per cell]
Ag 0.500 0.500 0.500 [1 per cell]
H 0.500 0.500 0.000 [1 per cell]

---

Record 4
A geometry-optimized Ba2LiAgH structure, computed with GGA-PBE.

Calculated values
DFT total energy	-2.6099	eV per atom
total moment	0.000	μB/cell

Cell: 5.763 5.763 4.253 Å, 90.00 90.00 90.00°
Space group P4/mmm (No. 123)
Symmetry-distinct sites (fractional):
Ba 0.000 0.500 0.000 [2 per cell]
Li 0.000 0.000 0.500 [1 per cell]
Ag 0.500 0.500 0.500 [1 per cell]
H 0.000 0.000 0.000 [1 per cell]

---

Record 5
A geometry-optimized BaLi2AgH structure, computed with GGA-PBE.

Calculated values
DFT total energy	-2.6224	eV per atom
total moment	0.000	μB/cell

Cell: 4.332 11.851 8.175 Å, 90.00 90.00 90.00°
Space group Cmcm (No. 63)
Symmetry-distinct sites (fractional):
Ba 0.000 0.050 0.250 [4 per cell]
Li 0.000 0.336 0.057 [8 per cell]
Ag 0.000 0.226 0.750 [4 per cell]
H 0.000 0.500 0.000 [4 per cell]

---

Record 6
A geometry-optimized Ba2MgAgH structure, computed with GGA-PBE.

Calculated values
DFT total energy	-2.5061	eV per atom
total moment	0.000	μB/cell

Cell: 5.693 5.693 4.484 Å, 90.00 90.00 90.00°
Space group P4/mmm (No. 123)
Symmetry-distinct sites (fractional):
Ba 0.000 0.500 0.000 [2 per cell]
Mg 0.000 0.000 0.500 [1 per cell]
Ag 0.500 0.500 0.500 [1 per cell]
H 0.000 0.000 0.000 [1 per cell]

---

Record 7
A geometry-optimized Ba2MgAgH structure, computed with GGA-PBE.

Calculated values
DFT total energy	-2.4573	eV per atom
total moment	0.000	μB/cell

Cell: 5.961 5.961 4.202 Å, 90.00 90.00 90.00°
Space group P4/mmm (No. 123)
Symmetry-distinct sites (fractional):
Ba 0.000 0.500 0.000 [2 per cell]
Mg 0.000 0.000 0.500 [1 per cell]
Ag 0.500 0.500 0.500 [1 per cell]
H 0.500 0.500 0.000 [1 per cell]

---

Record 8
A geometry-optimized Ba2MgAgH6 structure, computed with GGA-PBE.

Calculated values
DFT total energy	-3.0991	eV per atom
total moment	0.669	μB/cell

Cell: 5.864 5.877 8.287 Å, 90.00 90.00 90.00°
Space group Immm (No. 71)
Symmetry-distinct sites (fractional):
Ba 0.000 0.000 0.250 [4 per cell]
Mg 0.000 0.500 0.000 [2 per cell]
Ag 0.000 0.500 0.500 [2 per cell]
H 0.000 0.500 0.245 [4 per cell]
H 0.245 0.256 0.000 [8 per cell]

---

Record 9
A geometry-optimized Ba2NiAgH structure, computed with GGA-PBE.

Calculated values
DFT total energy	-3.2848	eV per atom
total moment	0.000	μB/cell

Cell: 5.749 5.749 3.745 Å, 90.00 90.00 90.00°
Space group P4/mmm (No. 123)
Symmetry-distinct sites (fractional):
Ba 0.000 0.500 0.000 [2 per cell]
Ni 0.000 0.000 0.500 [1 per cell]
Ag 0.500 0.500 0.500 [1 per cell]
H 0.000 0.000 0.000 [1 per cell]

---

Record 10
A geometry-optimized Ba2Ni3AgH12 structure, computed with GGA-PBE.

Calculated values
DFT total energy	-3.7588	eV per atom
total moment	0.000	μB/cell

Cell: 6.2318 6.2318 15.6887 Å, 90.00 90.00 120.00°
Space group R-3m (No. 166, hexagonal axes)
Symmetry-distinct sites (fractional):
Ba 0.0000 0.0000 0.1168 [6 per cell]
Ni 0.0000 0.5000 0.0000 [9 per cell]
Ag 0.0000 0.0000 0.5000 [3 per cell]
H 0.0231 0.5115 0.1013 [18 per cell]
H 0.0735 0.5368 0.3449 [18 per cell]

---

Record 11
A geometry-optimized Ba2AgH12Pd3 structure, computed with GGA-PBE.

Calculated values
DFT total energy	-3.6858	eV per atom
total moment	0.000	μB/cell

Cell: 6.5944 6.5944 15.7783 Å, 90.00 90.00 120.00°
Space group R-3m (No. 166, hexagonal axes)
Symmetry-distinct sites (fractional):
Ba 0.0000 0.0000 0.1209 [6 per cell]
Ag 0.0000 0.0000 0.5000 [3 per cell]
H 0.0311 0.5155 0.1084 [18 per cell]
H 0.0619 0.5309 0.3488 [18 per cell]
Pd 0.0000 0.5000 0.0000 [9 per cell]

---

Record 12
A geometry-optimized Ba2AgHPd structure, computed with GGA-PBE.

Calculated values
DFT total energy	-3.3646	eV per atom
total moment	0.000	μB/cell

Cell: 5.592 5.592 4.134 Å, 90.00 90.00 90.00°
Space group P4/mmm (No. 123)
Symmetry-distinct sites (fractional):
Ba 0.000 0.500 0.000 [2 per cell]
Ag 0.000 0.000 0.500 [1 per cell]
H 0.000 0.000 0.000 [1 per cell]
Pd 0.500 0.500 0.500 [1 per cell]

---

Question: Number 7 is which compound?
Answer: Ba2MgAgH